<A>
Material: DyTlBi
Method: DFT, GGA-PBE
State: relaxed

Structure (CIF):
```
data_DyTlBi
_chemical_formula_sum 'Dy1 Tl1 Bi1'
_cell_length_a 5.4380
_cell_length_b 5.4380
_cell_length_c 3.4835
_cell_angle_alpha 90.00
_cell_angle_beta 90.00
_cell_angle_gamma 120.00
_symmetry_space_group_name_H-M 'P 3 m 1'
_symmetry_Int_Tables_number 156
_symmetry_space_group_name_Hall 'P 3 -2"'
loop_
_atom_site_label
_atom_site_type_symbol
_atom_site_fract_x
_atom_site_fract_y
_atom_site_fract_z
_atom_site_occupancy
Dy1 Dy 0.0000 0.0000 0.0000 1
Tl1 Tl 0.3333 0.6667 0.3834 1
Bi1 Bi 0.6667 0.3333 0.5793 1
```



<B>
Material: DyTlBi
Method: DFT, GGA-PBE
State: relaxed

Structure (CIF):
```
data_DyTlBi
_chemical_formula_sum 'Dy4 Tl4 Bi4'
_cell_length_a 4.828
_cell_length_b 4.828
_cell_length_c 15.529
_cell_angle_alpha 90.00
_cell_angle_beta 90.00
_cell_angle_gamma 90.00
_symmetry_space_group_name_H-M 'I 4/m m m'
_symmetry_Int_Tables_number 139
_symmetry_space_group_name_Hall '-I 4 2'
loop_
_atom_site_label
_atom_site_type_symbol
_atom_site_fract_x
_atom_site_fract_y
_atom_site_fract_z
_atom_site_occupancy
Dy1 Dy 0.000 0.000 0.141 1
Tl1 Tl 0.000 0.000 0.338 1
Bi1 Bi 0.000 0.500 0.000 1
```



Ranking the structures above by energy, <B> is first and the second is 5.5 kJ/mol of atoms behind.